1.
YTc3Os: single point on PBEsol structure, SCAN.

Values from the calculation:
Its space group is Pm-3m. The total energy comes out at -37.988 eV per atom. The value obtained for the calculated volume is 18.5 A^3/atom. As for the size of the total moment: 0.000 μB/atom. The formation energy is 14.96 eV per formula unit.

abc: 4.526 4.526 4.526
angles: 90.00 90.00 90.00
Fractional positions:
Y  0.000  0.000  0.000
Tc  0.000  0.000  0.500
Tc  0.000  0.500  0.000
Tc  0.500  0.000  0.000
Os  0.500  0.500  0.500


2.
KCo3: single point on PBEsol structure, SCAN.

Values from the calculation:
Its space group is P4/mmm. The total energy comes out at -14.367 eV per atom. The value obtained for the calculated volume is 15.9 A^3/atom. As for the size of the total moment: 1.291 μB/atom. The formation energy is 2.77 eV per formula unit. As for the energy above the most stable polymorph in this dataset: 0.017 eV/f.u.

abc: 2.891 2.891 7.629
angles: 90.00 90.00 90.00
Fractional positions:
K  0.000  0.000  0.000
Co  0.000  0.000  0.500
Co  0.500  0.500  0.345
Co  0.500  0.500  0.655


3.
HgSeBr2: single point on PBEsol structure, SCAN.

Values from the calculation:
Its space group is R-3m. The total energy comes out at -31.683 eV per atom. The value obtained for the calculated volume is 26.3 A^3/atom. As for the size of the total moment: 0.000 μB/atom. As for the energy above the most stable polymorph in this dataset: 0.000 eV/f.u. The value obtained for the raw formation energy is 0.43 eV per formula unit.

abc: 3.384 3.384 31.808
angles: 90.00 90.00 120.00
Fractional positions:
Hg  0.000  0.000  0.000
Hg  0.333  0.667  0.667
Hg  0.667  0.333  0.333
Se  0.000  0.000  0.500
Se  0.333  0.667  0.167
Se  0.667  0.333  0.833
Br  0.000  0.000  0.423
Br  0.000  0.000  0.577
Br  0.333  0.667  0.090
Br  0.333  0.667  0.243
Br  0.667  0.333  0.757
Br  0.667  0.333  0.910


4.
CaBeOs: single point on PBEsol structure, SCAN.

Values from the calculation:
Its space group is F-43m. The total energy comes out at -27.881 eV per atom. The value obtained for the calculated volume is 16.9 A^3/atom. As for the size of the total moment: 0.000 μB/atom. The formation energy is 2.25 eV per formula unit. As for the energy above the most stable polymorph in this dataset: 2.241 eV/f.u.

abc: 5.871 5.871 5.871
angles: 90.00 90.00 90.00
Fractional positions:
Ca  0.000  0.000  0.000
Ca  0.000  0.500  0.500
Ca  0.500  0.000  0.500
Ca  0.500  0.500  0.000
Be  0.250  0.250  0.750
Be  0.250  0.750  0.250
Be  0.750  0.250  0.250
Be  0.750  0.750  0.750
Os  0.000  0.000  0.500
Os  0.000  0.500  0.000
Os  0.500  0.000  0.000
Os  0.500  0.500  0.500


5.
Ag2AsPt: single point on PBEsol structure, SCAN.

Values from the calculation:
Its space group is P4/mmm. The total energy comes out at -38.065 eV per atom. The value obtained for the calculated volume is 16.6 A^3/atom. As for the size of the total moment: 0.000 μB/atom. The formation energy is 0.86 eV per formula unit.

abc: 4.788 4.788 2.890
angles: 90.00 90.00 90.00
Fractional positions:
Ag  0.000  0.500  0.000
Ag  0.500  0.000  0.000
As  0.000  0.000  0.500
Pt  0.500  0.500  0.500


6.
AlFeSi4: single point on PBEsol structure, SCAN.

Values from the calculation:
Its space group is F-43m. The total energy comes out at -10.449 eV per atom. The value obtained for the calculated volume is 14.0 A^3/atom. As for the size of the total moment: 0.564 μB/atom. The value obtained for the raw formation energy is 3.25 eV per formula unit.

abc: 4.915 4.915 4.915
angles: 60.00 60.00 60.00
Fractional positions:
Al  0.000  0.000  0.000
Fe  0.250  0.250  0.250
Si  0.126  0.625  0.625
Si  0.625  0.126  0.625
Si  0.625  0.625  0.126
Si  0.625  0.625  0.625


7.
La2Ni: single point on PBEsol structure, SCAN.

Values from the calculation:
Its space group is C2/m. The total energy comes out at -34.286 eV per atom. The value obtained for the calculated volume is 25.5 A^3/atom. As for the size of the total moment: 0.000 μB/atom. The formation energy is -0.48 eV per formula unit.

abc: 12.675 3.514 6.979
angles: 90.00 99.70 90.00
Fractional positions:
La  0.118  0.000  0.063
La  0.140  0.000  0.602
La  0.360  0.500  0.398
La  0.382  0.500  0.937
La  0.618  0.500  0.063
La  0.640  0.500  0.602
La  0.860  0.000  0.398
La  0.882  0.000  0.937
Ni  0.024  0.500  0.311
Ni  0.476  0.000  0.689
Ni  0.524  0.000  0.311
Ni  0.976  0.500  0.689


8.
CsPH2O2: single point on PBEsol structure, SCAN.

Values from the calculation:
Its space group is Pnma. The total energy comes out at -12.749 eV per atom. The value obtained for the calculated volume is 18.2 A^3/atom. As for the size of the total moment: 0.000 μB/atom.

abc: 8.393 6.621 7.844
angles: 90.00 90.00 90.00
Fractional positions:
Cs  0.135  0.250  0.139
Cs  0.365  0.750  0.639
Cs  0.635  0.250  0.361
Cs  0.865  0.750  0.861
P  0.111  0.250  0.672
P  0.389  0.750  0.172
P  0.611  0.250  0.828
P  0.889  0.750  0.328
H  0.028  0.750  0.435
H  0.237  0.250  0.547
H  0.263  0.750  0.047
H  0.472  0.250  0.935
H  0.528  0.750  0.065
H  0.737  0.250  0.953
H  0.763  0.750  0.453
H  0.972  0.250  0.565
O  0.118  0.053  0.770
O  0.118  0.447  0.770
O  0.382  0.553  0.270
O  0.382  0.947  0.270
O  0.618  0.053  0.730
O  0.618  0.447  0.730
O  0.882  0.553  0.230
O  0.882  0.947  0.230